Entry from Alexandria: an optimized crystal structure of Ti5Tc4Ni (PBE).

As for the volume: 14.79 A^3/atom. The value obtained for the energy of formation from the pure elements is -0.50 eV/atom. For the total magnetic moment, the calculation gives 0.0 Bohr magnetons per cell. The value obtained for the calculated total energy is -9.170 eV/atom.

The structure belongs to space group P4/mmm (No. 123); the cell edges are 3.108, 3.108 and 15.310 Å and the angles 90.00°, 90.00° and 90.00°. The distinct sites, in fractional coordinates, are Ti at (0.000, 0.000, 0.000), Ti at (0.000, 0.000, 0.203), Ti at (0.000, 0.000, 0.401), Tc at (0.500, 0.500, 0.102), Tc at (0.500, 0.500, 0.307) and Ni at (0.500, 0.500, 0.500).

Entry from Alexandria: an optimized crystal structure of RbSiHS2 (PBE).

As for the volume: 18.42 A^3/atom. For the total magnetic moment, the calculation gives 0.0 Bohr magnetons per cell. The value obtained for the calculated total energy is -3.780 eV/atom.

The structure belongs to space group P4/mmm (No. 123); the cell edges are 4.782, 4.782 and 4.027 Å and the angles 90.00°, 90.00° and 90.00°. The distinct sites, in fractional coordinates, are Rb at (0.000, 0.000, 0.000), Si at (0.500, 0.500, 0.500), H at (0.500, 0.500, 0.000) and S at (0.000, 0.500, 0.500).

Q: The lowest calculated total energy belongs to which entry?
A: Ti5Tc4Ni

Q: calculated total energy of number 1 (Ti5Tc4Ni)?
A: -9.170 eV/atom